# 1
This record from Alexandria via LeMat-Bulk describes a geometry-optimized LiCa2In structure. The functional is GGA-PBEsol.

**Energy relative to the elements**: -252 meV/atom
**Symmetry**: No. 8

Cell and atoms, written as POSCAR:
```
LiCa2In
1.0
11.904 0.000 0.000
0.000 3.704 0.000
-1.967 0.000 5.141
Li Ca In
2 4 2
Direct
0.000 0.000 0.000
0.500 0.500 0.000
0.227 0.000 0.771
0.436 0.000 0.437
0.727 0.500 0.771
0.936 0.500 0.437
0.189 0.500 0.244
0.689 0.000 0.244
```



# 2
This record from Alexandria via LeMat-Bulk describes a geometry-optimized Li4CaIn structure. The functional is GGA-PBEsol.

**Energy relative to the elements**: -186 meV/atom
**Symmetry**: No. 216

Cell and atoms, written as POSCAR:
```
Li4CaIn
1.0
0.000 3.928 3.928
3.928 0.000 3.928
3.928 3.928 0.000
Li Ca In
4 1 1
Direct
0.123 0.123 0.123
0.123 0.123 0.631
0.123 0.631 0.123
0.631 0.123 0.123
0.500 0.500 0.500
0.750 0.750 0.750
```



# 3
This record from Alexandria via LeMat-Bulk describes a geometry-optimized LiCaInN2 structure. The functional is GGA-PBEsol.

**ΔE_f (raw)**: 5.5 eV/f.u.
**Symmetry**: No. 123

Cell and atoms, written as POSCAR:
```
LiCaInN2
1.0
4.405 0.000 0.000
0.000 4.405 0.000
0.000 0.000 4.606
Li Ca In N
1 1 1 2
Direct
0.000 0.000 0.000
0.000 0.000 0.500
0.500 0.500 0.000
0.000 0.500 0.500
0.500 0.000 0.500
```



# 4
This record from Alexandria via LeMat-Bulk describes a geometry-optimized CaMg2In structure. The functional is GGA-PBEsol.

**Energy relative to the elements**: -246 meV/atom
**Symmetry**: No. 216

Cell and atoms, written as POSCAR:
```
CaMg2In
1.0
7.290 0.000 0.000
0.000 7.290 0.000
0.000 0.000 7.290
Ca Mg In
4 8 4
Direct
0.000 0.000 0.000
0.000 0.500 0.500
0.500 0.000 0.500
0.500 0.500 0.000
0.000 0.000 0.500
0.000 0.500 0.000
0.250 0.250 0.750
0.250 0.750 0.250
0.500 0.000 0.000
0.500 0.500 0.500
0.750 0.250 0.250
0.750 0.750 0.750
0.250 0.250 0.250
0.250 0.750 0.750
0.750 0.250 0.750
0.750 0.750 0.250
```



# 5
This record from Alexandria via LeMat-Bulk describes a geometry-optimized CaMg2In structure. The functional is GGA-PBEsol.

**Energy relative to the elements**: -211 meV/atom
**Symmetry**: No. 47

Cell and atoms, written as POSCAR:
```
CaMg2In
1.0
4.459 0.000 0.000
0.000 4.675 0.000
0.000 0.000 4.810
Ca Mg In
1 2 1
Direct
0.000 0.000 0.000
0.000 0.500 0.500
0.500 0.000 0.500
0.500 0.500 0.000
```



# 6
This record from Alexandria via LeMat-Bulk describes a geometry-optimized CaMg2In structure. The functional is GGA-PBEsol.

**Energy relative to the elements**: -186 meV/atom
**Symmetry**: No. 99

Cell and atoms, written as POSCAR:
```
CaMg2In
1.0
3.746 0.000 0.000
0.000 3.746 0.000
0.000 0.000 7.279
Ca Mg In
1 2 1
Direct
0.000 0.000 0.000
0.000 0.000 0.482
0.500 0.500 0.701
0.500 0.500 0.269
```



Number 1: calculated total energy -2.56 eV per atom. Number 2: calculated total energy -2.35 eV per atom. Number 3: calculated total energy -3.72 eV per atom. Number 4: calculated total energy -2.38 eV per atom. Number 5: calculated total energy -2.35 eV per atom. Number 6: calculated total energy -2.32 eV per atom.